No. 1
Material: BiOs3C
Method: DFT, PBE-GGA
State: relaxed

```
data_BiOs3C
_chemical_formula_sum 'Bi1 Os3 C1'
_space_group_name_H-M_alt 'P 1'
_space_group_IT_number 1
_space_group_name_Hall 'P 1'
_cell_length_a 4.215
_cell_length_b 4.215
_cell_length_c 4.215
_cell_angle_alpha 90.00
_cell_angle_beta 90.00
_cell_angle_gamma 90.00
loop_
_atom_site_label
_atom_site_fract_x
_atom_site_fract_y
_atom_site_fract_z
_atom_site_occupancy
Bi1 0.000 0.000 0.000 1
Os1 0.000 0.500 0.500 1
Os2 0.500 0.000 0.500 1
Os3 0.500 0.500 0.000 1
C1 0.500 0.500 0.500 1
```

Calculated values
- Total magnetization: 0.00 μB/f.u.
- Space group: No. 221
- E above lowest polymorph: 0.0000 eV/atom

***

No. 2
Material: RbGe3I
Method: DFT, PBE-GGA
State: relaxed

```
data_RbGe3I
_chemical_formula_sum 'Rb1 Ge3 I1'
_space_group_name_H-M_alt 'P 1'
_space_group_IT_number 1
_space_group_name_Hall 'P 1'
_cell_length_a 6.059
_cell_length_b 6.059
_cell_length_c 6.059
_cell_angle_alpha 90.00
_cell_angle_beta 90.00
_cell_angle_gamma 90.00
loop_
_atom_site_label
_atom_site_fract_x
_atom_site_fract_y
_atom_site_fract_z
_atom_site_occupancy
Rb1 0.000 0.000 0.000 1
Ge1 0.000 0.000 0.500 1
Ge2 0.000 0.500 0.000 1
Ge3 0.500 0.000 0.000 1
I1 0.500 0.500 0.500 1
```

Calculated values
- Total magnetization: 3.32 μB/f.u.
- Space group: No. 221
- Formation energy from raw total energies: 1.5680 eV/atom
- E above lowest polymorph: 0.8040 eV/atom

***

No. 3
Material: La2TmInN
Method: DFT, PBE-GGA
State: relaxed

```
data_La2TmInN
_chemical_formula_sum 'La2 Tm1 In1 N1'
_space_group_name_H-M_alt 'P 1'
_space_group_IT_number 1
_space_group_name_Hall 'P 1'
_cell_length_a 5.152
_cell_length_b 5.152
_cell_length_c 4.767
_cell_angle_alpha 90.00
_cell_angle_beta 90.00
_cell_angle_gamma 90.00
loop_
_atom_site_label
_atom_site_fract_x
_atom_site_fract_y
_atom_site_fract_z
_atom_site_occupancy
La1 0.000 0.500 0.000 1
La2 0.500 0.000 0.000 1
Tm1 0.000 0.000 0.500 1
In1 0.500 0.500 0.500 1
N1 0.000 0.000 0.000 1
```

Calculated values
- Total magnetization: 0.00 μB/f.u.
- Space group: No. 123
- Formation energy from raw total energies: -0.8913 eV/atom

***

No. 4
Material: PmMgPRh2
Method: DFT, PBE-GGA
State: relaxed

```
data_PmMgPRh2
_chemical_formula_sum 'Pm1 Mg1 P1 Rh2'
_space_group_name_H-M_alt 'P 1'
_space_group_IT_number 1
_space_group_name_Hall 'P 1'
_cell_length_a 6.512
_cell_length_b 6.512
_cell_length_c 6.512
_cell_angle_alpha 147.14
_cell_angle_beta 142.73
_cell_angle_gamma 50.52
loop_
_atom_site_label
_atom_site_fract_x
_atom_site_fract_y
_atom_site_fract_z
_atom_site_occupancy
Pm1 0.000 0.000 0.000 1
Mg1 0.252 0.752 0.500 1
P1 0.612 0.612 0.000 1
Rh1 0.415 0.415 0.000 1
Rh2 0.736 0.236 0.500 1
```

Calculated values
- Total magnetization: 0.00 μB/f.u.
- Space group: No. 44

***

No. 5
Material: NaCaHgAs
Method: DFT, PBE-GGA
State: relaxed

```
data_NaCaHgAs
_chemical_formula_sum 'Na1 Ca1 Hg1 As1'
_space_group_name_H-M_alt 'P 1'
_space_group_IT_number 1
_space_group_name_Hall 'P 1'
_cell_length_a 5.177
_cell_length_b 5.177
_cell_length_c 5.177
_cell_angle_alpha 60.00
_cell_angle_beta 60.00
_cell_angle_gamma 60.00
loop_
_atom_site_label
_atom_site_fract_x
_atom_site_fract_y
_atom_site_fract_z
_atom_site_occupancy
Na1 0.000 0.000 0.000 1
Ca1 0.500 0.500 0.500 1
Hg1 0.250 0.250 0.250 1
As1 0.750 0.750 0.750 1
```

Calculated values
- Total magnetization: 0.00 μB/f.u.
- Space group: No. 216

***

No. 6
Material: Ta2MoSe
Method: DFT, PBE-GGA
State: relaxed

```
data_Ta2MoSe
_chemical_formula_sum 'Ta2 Mo1 Se1'
_space_group_name_H-M_alt 'P 1'
_space_group_IT_number 1
_space_group_name_Hall 'P 1'
_cell_length_a 8.310
_cell_length_b 8.310
_cell_length_c 8.310
_cell_angle_alpha 22.29
_cell_angle_beta 22.29
_cell_angle_gamma 22.29
loop_
_atom_site_label
_atom_site_fract_x
_atom_site_fract_y
_atom_site_fract_z
_atom_site_occupancy
Ta1 0.000 0.000 0.000 1
Ta2 0.242 0.242 0.242 1
Mo1 0.746 0.746 0.746 1
Se1 0.498 0.498 0.498 1
```

Calculated values
- Total magnetization: 0.00 μB/f.u.
- Space group: No. 160
- Formation energy from raw total energies: 0.1000 eV/atom

***

No. 7
Material: LiCuAgSn
Method: DFT, PBE-GGA
State: relaxed

```
data_LiCuAgSn
_chemical_formula_sum 'Li1 Cu1 Ag1 Sn1'
_space_group_name_H-M_alt 'P 1'
_space_group_IT_number 1
_space_group_name_Hall 'P 1'
_cell_length_a 4.540
_cell_length_b 4.540
_cell_length_c 4.540
_cell_angle_alpha 60.00
_cell_angle_beta 60.00
_cell_angle_gamma 60.00
loop_
_atom_site_label
_atom_site_fract_x
_atom_site_fract_y
_atom_site_fract_z
_atom_site_occupancy
Li1 0.000 0.000 0.000 1
Cu1 0.500 0.500 0.500 1
Ag1 0.250 0.250 0.250 1
Sn1 0.750 0.750 0.750 1
```

Calculated values
- Total magnetization: 0.00 μB/f.u.
- Space group: No. 216

***

No. 8
Material: LiSe3
Method: DFT, PBE-GGA
State: relaxed

```
data_LiSe3
_chemical_formula_sum 'Li2 Se6'
_space_group_name_H-M_alt 'P 1'
_space_group_IT_number 1
_space_group_name_Hall 'P 1'
_cell_length_a 5.442
_cell_length_b 5.442
_cell_length_c 5.442
_cell_angle_alpha 90.00
_cell_angle_beta 90.00
_cell_angle_gamma 90.00
loop_
_atom_site_label
_atom_site_fract_x
_atom_site_fract_y
_atom_site_fract_z
_atom_site_occupancy
Li1 0.000 0.000 0.000 1
Li2 0.500 0.500 0.500 1
Se1 0.000 0.250 0.500 1
Se2 0.000 0.750 0.500 1
Se3 0.250 0.500 0.000 1
Se4 0.500 0.000 0.250 1
Se5 0.500 0.000 0.750 1
Se6 0.750 0.500 0.000 1
```

Calculated values
- Total magnetization: 0.00 μB/f.u.
- Space group: No. 223
- Formation energy from raw total energies: 0.0475 eV/atom
- E above lowest polymorph: 0.4904 eV/atom

***

No. 9
Material: GePW
Method: DFT, PBE-GGA
State: relaxed

```
data_GePW
_chemical_formula_sum 'Ge2 P2 W2'
_space_group_name_H-M_alt 'P 1'
_space_group_IT_number 1
_space_group_name_Hall 'P 1'
_cell_length_a 3.104
_cell_length_b 5.610
_cell_length_c 6.010
_cell_angle_alpha 67.30
_cell_angle_beta 75.10
_cell_angle_gamma 89.96
loop_
_atom_site_label
_atom_site_fract_x
_atom_site_fract_y
_atom_site_fract_z
_atom_site_occupancy
Ge1 0.177 0.121 0.147 1
Ge2 0.823 0.879 0.853 1
P1 0.473 0.245 0.555 1
P2 0.527 0.755 0.445 1
W1 0.136 0.550 0.227 1
W2 0.864 0.450 0.773 1
```

Calculated values
- Total magnetization: 0.00 μB/f.u.
- Space group: No. 2

***

No. 10
Material: La2Ga5Au3
Method: DFT, PBE-GGA
State: relaxed

```
data_La2Ga5Au3
_chemical_formula_sum 'La4 Ga10 Au6'
_space_group_name_H-M_alt 'P 1'
_space_group_IT_number 1
_space_group_name_Hall 'P 1'
_cell_length_a 8.817
_cell_length_b 8.817
_cell_length_c 8.817
_cell_angle_alpha 104.76
_cell_angle_beta 89.93
_cell_angle_gamma 138.29
loop_
_atom_site_label
_atom_site_fract_x
_atom_site_fract_y
_atom_site_fract_z
_atom_site_occupancy
La1 0.127 0.239 0.366 1
La2 0.373 0.739 0.112 1
La3 0.627 0.261 0.888 1
La4 0.873 0.761 0.634 1
Ga1 0.015 0.750 0.265 1
Ga2 0.117 0.644 0.761 1
Ga3 0.250 0.250 0.000 1
Ga4 0.383 0.144 0.527 1
Ga5 0.485 0.750 0.735 1
Ga6 0.515 0.250 0.265 1
Ga7 0.617 0.856 0.473 1
Ga8 0.750 0.750 0.000 1
Ga9 0.883 0.356 0.239 1
Ga10 0.985 0.250 0.735 1
Au1 0.133 0.879 0.012 1
Au2 0.250 0.750 0.500 1
Au3 0.367 0.379 0.746 1
Au4 0.633 0.621 0.254 1
Au5 0.750 0.250 0.500 1
Au6 0.867 0.121 0.988 1
```

Calculated values
- Total magnetization: 0.00 μB/f.u.
- Space group: No. 72
- E above lowest polymorph: 0.0000 eV/atom

***

no.,total DFT energy (no corrections) (eV per atom),ρ (g cm⁻³),density of states at the Fermi level (states/eV per atom)
1,-8.4648,17.55,0.7281
2,-1.7060,3.21,1.2048
3,-5.9694,7.55,0.5413
4,-6.1245,7.47,0.6011
5,-2.6946,5.73,0.0360
6,-9.4053,12.32,0.6046
7,-3.3809,7.46,0.6308
8,-3.0444,5.02,0.7858
9,-7.5906,10.30,0.6302
10,-4.1689,9.59,0.4215